Density functional theory data (PBE-GGA) for a relaxed Pm2NpN4 crystal.

CIF file:
```
data_Pm2NpN4
_symmetry_space_group_name_H-M 'P b a m'
_symmetry_Int_Tables_number 55
_symmetry_space_group_name_Hall '-P 2 2ab'
_cell_length_a 5.976
_cell_length_b 9.893
_cell_length_c 3.577
_cell_angle_alpha 90.00
_cell_angle_beta 90.00
_cell_angle_gamma 90.00
loop_
_atom_site_label
_atom_site_type_symbol
_atom_site_fract_x
_atom_site_fract_y
_atom_site_fract_z
_atom_site_occupancy
Pm1 Pm 0.068 0.178 0.000 1
Np1 Np 0.000 0.500 0.500 1
N1 N 0.136 0.688 0.500 1
N2 N 0.222 0.453 0.000 1
```

Computed properties:
For the raw total energy, the calculation gives -9.32 eV per atom. The value obtained for the theoretical density is 9.2 g/cm³. As for the energy relative to the elements, uncorrected: -1.358 eV/atom. Its total magnetization is 2.0 μB/cell.



Density functional theory data (PBE-GGA) for a relaxed Pm3Np4N12 crystal.

CIF file:
```
data_Pm3Np4N12
_symmetry_space_group_name_H-M 'I m -3'
_symmetry_Int_Tables_number 204
_symmetry_space_group_name_Hall '-I 2 2 3'
_cell_length_a 8.292
_cell_length_b 8.292
_cell_length_c 8.292
_cell_angle_alpha 90.00
_cell_angle_beta 90.00
_cell_angle_gamma 90.00
loop_
_atom_site_label
_atom_site_type_symbol
_atom_site_fract_x
_atom_site_fract_y
_atom_site_fract_z
_atom_site_occupancy
Pm1 Pm 0.000 0.000 0.500 1
Np1 Np 0.250 0.250 0.250 1
N1 N 0.000 0.297 0.226 1
```

Computed properties:
For the raw total energy, the calculation gives -9.70 eV per atom. The value obtained for the theoretical density is 9.0 g/cm³. As for the energy relative to the elements, uncorrected: -0.966 eV/atom. Its total magnetization is 2.1 μB/cell.



Density functional theory data (PBE-GGA) for a relaxed Pm4NpN5 crystal.

CIF file:
```
data_Pm4NpN5
_symmetry_space_group_name_H-M 'I 4/m'
_symmetry_Int_Tables_number 87
_symmetry_space_group_name_Hall '-I 4'
_cell_length_a 7.960
_cell_length_b 7.960
_cell_length_c 5.059
_cell_angle_alpha 90.00
_cell_angle_beta 90.00
_cell_angle_gamma 90.00
loop_
_atom_site_label
_atom_site_type_symbol
_atom_site_fract_x
_atom_site_fract_y
_atom_site_fract_z
_atom_site_occupancy
Pm1 Pm 0.100 0.701 0.000 1
Np1 Np 0.000 0.000 0.500 1
N1 N 0.000 0.000 0.000 1
N2 N 0.091 0.726 0.500 1
```

Computed properties:
For the raw total energy, the calculation gives -8.76 eV per atom. The value obtained for the theoretical density is 9.2 g/cm³. As for the energy relative to the elements, uncorrected: -1.402 eV/atom. Its total magnetization is 5.2 μB/cell.



Density functional theory data (PBE-GGA) for a relaxed Pm2Np2N7 crystal.

CIF file:
```
data_Pm2Np2N7
_symmetry_space_group_name_H-M 'C m m m'
_symmetry_Int_Tables_number 65
_symmetry_space_group_name_Hall '-C 2 2'
_cell_length_a 7.119
_cell_length_b 7.953
_cell_length_c 5.503
_cell_angle_alpha 90.00
_cell_angle_beta 90.00
_cell_angle_gamma 90.00
loop_
_atom_site_label
_atom_site_type_symbol
_atom_site_fract_x
_atom_site_fract_y
_atom_site_fract_z
_atom_site_occupancy
Pm1 Pm 0.247 0.000 0.000 1
Np1 Np 0.000 0.227 0.500 1
N1 N 0.000 0.000 0.275 1
N2 N 0.000 0.500 0.500 1
N3 N 0.250 0.250 0.271 1
```

Computed properties:
For the raw total energy, the calculation gives -9.32 eV per atom. The value obtained for the theoretical density is 9.2 g/cm³. As for the energy relative to the elements, uncorrected: -0.803 eV/atom. Its total magnetization is 0.0 μB/cell.



Density functional theory data (PBE-GGA) for a relaxed Pm5NpN6 crystal.

CIF file:
```
data_Pm5NpN6
_symmetry_space_group_name_H-M 'C 1 2/m 1'
_symmetry_Int_Tables_number 12
_symmetry_space_group_name_Hall '-C 2y'
_cell_length_a 6.187
_cell_length_b 10.707
_cell_length_c 6.175
_cell_angle_alpha 90.00
_cell_angle_beta 109.54
_cell_angle_gamma 90.00
loop_
_atom_site_label
_atom_site_type_symbol
_atom_site_fract_x
_atom_site_fract_y
_atom_site_fract_z
_atom_site_occupancy
Pm1 Pm 0.000 0.000 0.000 1
Pm2 Pm 0.000 0.166 0.500 1
Pm3 Pm 0.000 0.333 0.000 1
Np1 Np 0.000 0.500 0.500 1
N1 N 0.229 0.500 0.265 1
N2 N 0.231 0.347 0.733 1
```

Computed properties:
For the raw total energy, the calculation gives -8.64 eV per atom. The value obtained for the theoretical density is 9.0 g/cm³. As for the energy relative to the elements, uncorrected: -1.416 eV/atom. Its total magnetization is 4.8 μB/cell.



Density functional theory data (PBE-GGA) for a relaxed PmNp2N6 crystal.

CIF file:
```
data_PmNp2N6
_symmetry_space_group_name_H-M 'P -3 1 m'
_symmetry_Int_Tables_number 162
_symmetry_space_group_name_Hall '-P 3 2'
_cell_length_a 5.8001
_cell_length_b 5.8001
_cell_length_c 4.6953
_cell_angle_alpha 90.00
_cell_angle_beta 90.00
_cell_angle_gamma 120.00
loop_
_atom_site_label
_atom_site_type_symbol
_atom_site_fract_x
_atom_site_fract_y
_atom_site_fract_z
_atom_site_occupancy
Pm1 Pm 0.0000 0.0000 0.0000 1
Np1 Np 0.3333 0.6667 0.5000 1
N1 N 0.0000 0.3639 0.2923 1
```

Computed properties:
For the raw total energy, the calculation gives -9.59 eV per atom. The value obtained for the theoretical density is 8.5 g/cm³. As for the energy relative to the elements, uncorrected: -0.632 eV/atom. Its total magnetization is 0.0 μB/cell.



Density functional theory data (PBE-GGA) for a relaxed Pm3NpN4 crystal.

CIF file:
```
data_Pm3NpN4
_symmetry_space_group_name_H-M 'C m m m'
_symmetry_Int_Tables_number 65
_symmetry_space_group_name_Hall '-C 2 2'
_cell_length_a 7.142
_cell_length_b 10.012
_cell_length_c 3.562
_cell_angle_alpha 90.00
_cell_angle_beta 90.00
_cell_angle_gamma 90.00
loop_
_atom_site_label
_atom_site_type_symbol
_atom_site_fract_x
_atom_site_fract_y
_atom_site_fract_z
_atom_site_occupancy
Pm1 Pm 0.000 0.000 0.000 1
Pm2 Pm 0.250 0.250 0.500 1
Np1 Np 0.000 0.500 0.000 1
N1 N 0.000 0.270 0.000 1
N2 N 0.231 0.500 0.500 1
```

Computed properties:
For the raw total energy, the calculation gives -8.93 eV per atom. The value obtained for the theoretical density is 9.5 g/cm³. As for the energy relative to the elements, uncorrected: -1.373 eV/atom. Its total magnetization is 5.7 μB/cell.



Density functional theory data (PBE-GGA) for a relaxed Pm2NpN crystal.

CIF file:
```
data_Pm2NpN
_symmetry_space_group_name_H-M 'R -3 m'
_symmetry_Int_Tables_number 166
_symmetry_space_group_name_Hall '-R 3 2"'
_cell_length_a 3.4609
_cell_length_b 3.4609
_cell_length_c 29.2298
_cell_angle_alpha 90.00
_cell_angle_beta 90.00
_cell_angle_gamma 120.00
loop_
_atom_site_label
_atom_site_type_symbol
_atom_site_fract_x
_atom_site_fract_y
_atom_site_fract_z
_atom_site_occupancy
Pm1 Pm 0.0000 0.0000 0.1183 1
Np1 Np 0.0000 0.0000 0.0000 1
N1 N 0.0000 0.0000 0.5000 1
```

Computed properties:
For the raw total energy, the calculation gives -7.93 eV per atom. The value obtained for the theoretical density is 8.9 g/cm³. As for the energy relative to the elements, uncorrected: -0.243 eV/atom. Its total magnetization is 14.3 μB/cell.



Which of these has the highest theoretical density?
Pm3NpN4



theoretical density of number 5 (Pm5NpN6)?
9.0 g/cm³



What did the fourth record say?
Density functional theory data (PBE-GGA) for a relaxed Pm2Np2N7 crystal.

CIF file:
```
data_Pm2Np2N7
_symmetry_space_group_name_H-M 'C m m m'
_symmetry_Int_Tables_number 65
_symmetry_space_group_name_Hall '-C 2 2'
_cell_length_a 7.119
_cell_length_b 7.953
_cell_length_c 5.503
_cell_angle_alpha 90.00
_cell_angle_beta 90.00
_cell_angle_gamma 90.00
loop_
_atom_site_label
_atom_site_type_symbol
_atom_site_fract_x
_atom_site_fract_y
_atom_site_fract_z
_atom_site_occupancy
Pm1 Pm 0.247 0.000 0.000 1
Np1 Np 0.000 0.227 0.500 1
N1 N 0.000 0.000 0.275 1
N2 N 0.000 0.500 0.500 1
N3 N 0.250 0.250 0.271 1
```

Computed properties:
For the raw total energy, the calculation gives -9.32 eV per atom. The value obtained for the theoretical density is 9.2 g/cm³. As for the energy relative to the elements, uncorrected: -0.803 eV/atom. Its total magnetization is 0.0 μB/cell.